Entry 1:
DFT (PBE-GGA) results for a relaxed structure of TmAg2Au.

Cell lengths 5.011, 5.973, 5.248 Å; angles 90.00, 90.00, 90.00 degrees
Element x y z (fractional)
Tm (0.250, 0.250, 0.139)
Tm (0.750, 0.750, 0.861)
Ag (0.250, 0.504, 0.647)
Ag (0.250, 0.996, 0.647)
Ag (0.750, 0.004, 0.353)
Ag (0.750, 0.496, 0.353)
Au (0.250, 0.750, 0.157)
Au (0.750, 0.250, 0.843)

Calculated values
Total moment in μB/f.u.: 0.00
Energy of formation from the pure elements in eV per atom: -0.467


Entry 2:
DFT (PBE-GGA) results for a relaxed structure of Tb2SmAs3.

Cell lengths 4.160, 4.160, 10.185 Å; angles 90.00, 90.00, 120.00 degrees
Element x y z (fractional)
Tb (0.333, 0.667, 0.335)
Tb (0.667, 0.333, 0.665)
Sm (0.000, 0.000, 0.000)
As (0.000, 0.000, 0.500)
As (0.333, 0.667, 0.829)
As (0.667, 0.333, 0.171)

Calculated values
Total moment in μB/f.u.: 0.00
Uncorrected energy in eV/atom: -6.19


Entry 3:
DFT (PBE-GGA) results for a relaxed structure of CsTcSn.

Cell lengths 5.531, 5.531, 5.531 Å; angles 60.00, 60.00, 60.00 degrees
Element x y z (fractional)
Cs (0.000, 0.000, 0.000)
Tc (0.250, 0.250, 0.250)
Sn (0.750, 0.750, 0.750)

Calculated values
Excess energy over the best structure of this formula in the dataset in meV/atom: 866.2
Total moment in μB/f.u.: 3.51


Entry 4:
DFT (PBE-GGA) results for a relaxed structure of GaCoNiAg.

Cell lengths 4.212, 4.212, 4.212 Å; angles 60.00, 60.00, 60.00 degrees
Element x y z (fractional)
Ga (0.000, 0.000, 0.000)
Co (0.250, 0.250, 0.250)
Ni (0.750, 0.750, 0.750)
Ag (0.500, 0.500, 0.500)

Calculated values
Excess energy over the best structure of this formula in the dataset in meV/atom: 0.0
Total moment in μB/f.u.: 0.00


Entry 5:
DFT (PBE-GGA) results for a relaxed structure of KAcPu.

Cell lengths 6.051, 6.051, 6.051 Å; angles 60.00, 60.00, 60.00 degrees
Element x y z (fractional)
K (0.000, 0.000, 0.000)
Ac (0.500, 0.500, 0.500)
Pu (0.250, 0.250, 0.250)

Calculated values
Excess energy over the best structure of this formula in the dataset in meV/atom: 0.0
Total moment in μB/f.u.: 8.49


Entry 6:
DFT (PBE-GGA) results for a relaxed structure of RbGdSO.

Cell lengths 9.289, 8.447, 5.616 Å; angles 90.00, 90.00, 90.00 degrees
Element x y z (fractional)
Rb (0.099, 0.119, 0.250)
Rb (0.099, 0.381, 0.750)
Rb (0.901, 0.619, 0.250)
Rb (0.901, 0.881, 0.750)
Gd (0.359, 0.567, 0.250)
Gd (0.359, 0.933, 0.750)
Gd (0.641, 0.067, 0.250)
Gd (0.641, 0.433, 0.750)
S (0.388, 0.604, 0.750)
S (0.388, 0.896, 0.250)
S (0.612, 0.104, 0.750)
S (0.612, 0.396, 0.250)
O (0.168, 0.042, 0.750)
O (0.168, 0.458, 0.250)
O (0.832, 0.542, 0.750)
O (0.832, 0.958, 0.250)

Calculated values
Excess energy over the best structure of this formula in the dataset in meV/atom: 202.8
Total moment in μB/f.u.: 0.00


Entry 7:
DFT (PBE-GGA) results for a relaxed structure of NiAgB4.

Cell lengths 4.902, 4.902, 4.902 Å; angles 148.87, 110.23, 78.36 degrees
Element x y z (fractional)
Ni (0.000, 0.000, 0.000)
Ag (0.500, 0.500, 0.000)
B (0.082, 0.730, 0.351)
B (0.379, 0.730, 0.649)
B (0.621, 0.270, 0.351)
B (0.918, 0.270, 0.649)

Calculated values
Excess energy over the best structure of this formula in the dataset in meV/atom: 124.5
Total moment in μB/f.u.: 0.00


Entry 8:
DFT (PBE-GGA) results for a relaxed structure of KPrIn.

Cell lengths 5.587, 5.587, 5.587 Å; angles 60.00, 60.00, 60.00 degrees
Element x y z (fractional)
K (0.000, 0.000, 0.000)
Pr (0.500, 0.500, 0.500)
In (0.250, 0.250, 0.250)

Calculated values
Excess energy over the best structure of this formula in the dataset in meV/atom: 0.0
Total moment in μB/f.u.: 0.00


Entry 9:
DFT (PBE-GGA) results for a relaxed structure of Sr2ZrTcS6.

Cell lengths 6.752, 6.794, 6.811 Å; angles 61.16, 60.65, 61.80 degrees
Element x y z (fractional)
Sr (0.238, 0.268, 0.252)
Sr (0.762, 0.732, 0.748)
Zr (0.000, 0.000, 0.000)
Tc (0.500, 0.500, 0.500)
S (0.198, 0.706, 0.314)
S (0.215, 0.679, 0.807)
S (0.350, 0.165, 0.734)
S (0.650, 0.835, 0.266)
S (0.785, 0.321, 0.193)
S (0.802, 0.294, 0.686)

Calculated values
Total moment in μB/f.u.: 2.90
Uncorrected energy in eV/atom: -6.01


Entry 10:
DFT (PBE-GGA) results for a relaxed structure of La2Ni2GeAs.

Cell lengths 4.177, 4.177, 8.342 Å; angles 90.00, 90.00, 120.00 degrees
Element x y z (fractional)
La (0.000, 0.000, 0.248)
La (0.000, 0.000, 0.752)
Ni (0.333, 0.667, 0.000)
Ni (0.667, 0.333, 0.500)
Ge (0.333, 0.667, 0.500)
As (0.667, 0.333, 0.000)

Calculated values
Total moment in μB/f.u.: 0.01
Uncorrected energy in eV/atom: -5.96


Entry 11:
DFT (PBE-GGA) results for a relaxed structure of KGeAuSeS2.

Cell lengths 8.396, 8.396, 10.179 Å; angles 90.00, 90.00, 155.17 degrees
Element x y z (fractional)
K (0.214, 0.786, 0.750)
K (0.786, 0.214, 0.250)
Ge (0.500, 0.500, 0.000)
Ge (0.500, 0.500, 0.500)
Au (0.115, 0.885, 0.250)
Au (0.885, 0.115, 0.750)
Se (0.454, 0.546, 0.250)
Se (0.546, 0.454, 0.750)
S (0.108, 0.892, 0.023)
S (0.108, 0.892, 0.477)
S (0.892, 0.108, 0.523)
S (0.892, 0.108, 0.977)

Calculated values
Uncorrected energy in eV/atom: -3.81


Entry 12:
DFT (PBE-GGA) results for a relaxed structure of Cd2PCl2.

Cell lengths 7.795, 9.019, 8.013 Å; angles 90.00, 119.60, 90.00 degrees
Element x y z (fractional)
Cd (0.028, 0.202, 0.205)
Cd (0.028, 0.298, 0.705)
Cd (0.432, 0.580, 0.227)
Cd (0.432, 0.920, 0.727)
Cd (0.568, 0.080, 0.273)
Cd (0.568, 0.420, 0.773)
Cd (0.972, 0.702, 0.295)
Cd (0.972, 0.798, 0.795)
P (0.067, 0.608, 0.057)
P (0.067, 0.892, 0.557)
P (0.933, 0.108, 0.443)
P (0.933, 0.392, 0.943)
Cl (0.241, 0.532, 0.695)
Cl (0.241, 0.968, 0.195)
Cl (0.419, 0.198, 0.923)
Cl (0.419, 0.302, 0.423)
Cl (0.581, 0.698, 0.577)
Cl (0.581, 0.802, 0.077)
Cl (0.759, 0.032, 0.805)
Cl (0.759, 0.468, 0.305)

Calculated values
Uncorrected energy in eV/atom: -2.88